No. 1
La6Pt2CI3 (PBE, relaxed); SG = C2/m (12); final energy = -0.4142 Ry/atom; uncorrected formation energy = -1.008 eV per atom
1.0
3.649 -6.330 0.000
3.649 6.330 0.000
-2.417 0.000 8.087
La Pt C I
6 2 1 3
Cartesian
1.122 1.930 1.486 La
-0.198 0.000 6.577 La
1.122 -1.930 1.486 La
3.760 1.930 6.601 La
5.080 0.000 1.510 La
3.760 -1.930 6.601 La
3.649 2.101 0.000 Pt
3.649 -2.101 0.000 Pt
0.000 0.000 0.000 C
2.441 4.166 4.044 I
2.441 0.000 4.044 I
2.441 -4.166 4.044 I


No. 2
Rb2LaCI6 (PBE, relaxed); SG = I4/mmm (139); final energy = -0.2276 Ry/atom; uncorrected formation energy = -0.558 eV per atom
1.0
-4.348 4.348 5.746
4.348 -4.348 5.746
4.348 4.348 -5.746
Rb La C I
2 1 1 6
Cartesian
4.348 0.000 2.873 Rb
0.000 4.348 2.873 Rb
0.000 0.000 0.000 La
0.000 0.000 5.746 C
2.224 2.224 0.000 I
2.124 -2.124 5.746 I
0.000 0.000 3.153 I
0.000 0.000 8.339 I
-2.124 2.124 5.746 I
2.124 2.124 5.746 I


No. 3
La8Rh3CI3 (PBE, relaxed); SG = C2/m (12); final energy = -0.4270 Ry/atom; uncorrected formation energy = -0.786 eV per atom
1.0
7.240 -4.168 0.000
7.240 4.168 0.000
-4.823 0.000 8.271
La Rh C I
8 3 1 3
Cartesian
-0.148 0.000 5.584 La
3.712 2.222 5.590 La
5.946 2.222 2.681 La
2.410 0.000 2.572 La
7.248 0.000 5.699 La
3.712 -2.222 5.590 La
5.946 -2.222 2.681 La
9.806 0.000 2.687 La
1.209 2.084 4.135 Rh
1.209 -2.084 4.135 Rh
4.829 0.000 4.135 Rh
-2.411 0.000 4.135 C
0.000 0.000 0.000 I
3.620 2.084 0.000 I
3.620 -2.084 0.000 I